CsGdRe2O8 | the Open Quantum Materials Database | GGA-PBE | relaxed; symmetry = P-3m1 (164); E = -93.8 eV/cell
1.0
5.989 0.000 0.000
-2.995 5.187 0.000
0.000 0.000 7.954
O Re Gd Cs
8 2 1 1
Direct
0.333 0.667 0.523
0.667 0.333 0.477
0.829 0.171 0.174
0.829 0.658 0.174
0.342 0.171 0.174
0.658 0.829 0.826
0.171 0.342 0.826
0.171 0.829 0.826
0.333 0.667 0.745
0.667 0.333 0.255
0.000 0.000 0.000
0.000 0.000 0.500